Version i
Material: BeNiOs
Method: DFT, GGA-PBE
State: relaxed

a b c (Å): 3.9356 3.9356 2.5280
angles (deg): 90.00 90.00 120.00
Closest atoms and distances in Å follow each position.
Positions (direct):
Be 0.0000 0.0000 0.0000  3 Ni 2.27, 2 Be 2.53
Ni 0.6667 0.3333 0.0000  3 Be 2.27, 2 Ni 2.53
Os 0.3333 0.6667 0.5000  2 Os 2.53, 6 Be 2.60, 6 Ni 2.60

Properties
**Space-group type**: P-6m2
**Density**: 12.6 g/cm³

=====

Version ii
Material: BeNiOs
Method: DFT, GGA-PBE
State: relaxed

a b c (Å): 2.6207 2.6207 5.8553
angles (deg): 90.00 90.00 120.00
Closest atoms and distances in Å follow each position.
Positions (direct):
Be 0.0000 0.0000 0.0000  3 Ni 2.33, 3 Os 2.49
Ni 0.3333 0.6667 0.3021  3 Be 2.33, 3 Os 2.60
Os 0.6667 0.3333 0.6622  3 Be 2.49, 3 Ni 2.60, 6 Os 2.62

Properties
**Space-group type**: P3m1
**Density**: 12.3 g/cm³

=====

Name the most stable of them. version ii.

=====

Version i
Material: BeNiOs
Method: DFT, GGA-PBE
State: relaxed

a b c (Å): 4.8982 4.8982 4.8982
angles (deg): 148.05 148.05 45.81
Closest atoms and distances in Å follow each position.
Positions (direct):
Be 0.0000 0.0000 0.0000  4 Ni 2.28, 4 Os 2.42
Ni 0.6379 0.6379 0.0000  4 Be 2.28
Os 0.3339 0.3339 0.0000  4 Be 2.42, 4 Ni 2.60, 4 Os 2.70

Properties
**Space-group type**: I4mm
**Density**: 13.1 g/cm³

=====

Version ii
Material: BeNiOs
Method: DFT, GGA-PBE
State: relaxed

a b c (Å): 5.5783 5.5783 5.3009
angles (deg): 102.04 102.04 25.88
Closest atoms and distances in Å follow each position.
Positions (direct):
Be 0.2263 0.2263 0.1715  3 Ni 2.15-2.20, 2 Be 2.35, 1 Os 2.38
Be 0.7737 0.7737 0.8285  3 Ni 2.15-2.20, 2 Be 2.35, 1 Os 2.38
Ni 0.4117 0.4117 0.0892  3 Be 2.15-2.20, 1 Ni 2.32
Ni 0.5883 0.5883 0.9108  3 Be 2.15-2.20, 1 Ni 2.32
Os 0.3871 0.3871 0.5538  3 Be 2.38-2.44, 3 Os 2.50-2.64, 2 Ni 2.53-2.57
Os 0.6129 0.6129 0.4462  3 Be 2.38-2.44, 3 Os 2.50-2.64, 2 Ni 2.53-2.57

Properties
**Space-group type**: C2/m
**Density**: 12.2 g/cm³

=====

Version iii
Material: BeNiOs
Method: DFT, GGA-PBE
State: relaxed

a b c (Å): 3.8945 3.8945 3.8945
angles (deg): 60.00 60.00 60.00
Closest atoms and distances in Å follow each position.
Positions (direct):
Be 0.0000 0.0000 0.0000  4 Os 2.38
Ni 0.5000 0.5000 0.5000  4 Os 2.38
Os 0.2500 0.2500 0.2500  4 Be 2.38, 4 Ni 2.38

Properties
**Space-group type**: F-43m
**Density**: 10.3 g/cm³

=====

Version iv
Material: BeNiOs
Method: DFT, GGA-PBE
State: relaxed

a b c (Å): 6.1945 5.9771 2.5627
angles (deg): 82.65 73.13 24.22
Closest atoms and distances in Å follow each position.
Positions (direct):
Be 0.0000 0.0000 0.0000  2 Ni 2.21, 2 Os 2.38
Ni 0.3534 0.3534 0.6466  2 Be 2.21
Os 0.6660 0.6660 0.3340  2 Be 2.38, 4 Os 2.56, 2 Ni 2.59

Properties
**Space-group type**: Fmm2
**Density**: 12.3 g/cm³

=====

Name the most stable of them. version i.

=====

Version i
Material: Be2Ni2Os
Method: DFT, GGA-PBE
State: relaxed

a b c (Å): 6.3090 6.3090 2.5498
angles (deg): 90.00 90.00 90.00
Closest atoms and distances in Å follow each position.
Positions (direct):
Be 0.1295 0.3705 0.0000  6 Ni 2.23-2.26, 1 Be 2.31, 2 Os 2.48
Be 0.3705 0.8705 0.0000  6 Ni 2.23-2.26, 1 Be 2.31, 2 Os 2.48
Be 0.6295 0.1295 0.0000  6 Ni 2.23-2.26, 1 Be 2.31, 2 Os 2.48
Be 0.8705 0.6295 0.0000  6 Ni 2.23-2.26, 1 Be 2.31, 2 Os 2.48
Ni 0.1650 0.6650 0.5000  6 Be 2.23-2.26
Ni 0.3350 0.1650 0.5000  6 Be 2.23-2.26
Ni 0.6650 0.8350 0.5000  6 Be 2.23-2.26
Ni 0.8350 0.3350 0.5000  6 Be 2.23-2.26
Os 0.0000 0.0000 0.0000  4 Be 2.48, 2 Os 2.55, 8 Ni 2.68
Os 0.5000 0.5000 0.0000  4 Be 2.48, 2 Os 2.55, 8 Ni 2.68

Properties
**Space-group type**: P4/mbm
**Density**: 10.7 g/cm³

=====

Version ii
Material: Be2Ni2Os
Method: DFT, GGA-PBE
State: relaxed

a b c (Å): 6.5086 6.5086 2.4726
angles (deg): 90.00 90.00 90.00
Closest atoms and distances in Å follow each position.
Positions (direct):
Be 0.1701 0.3299 0.0000  6 Ni 2.24-2.31, 2 Be 2.47
Be 0.3299 0.8299 0.0000  6 Ni 2.24-2.31, 2 Be 2.47
Be 0.6701 0.1701 0.0000  6 Ni 2.24-2.31, 2 Be 2.47
Be 0.8299 0.6701 0.0000  6 Ni 2.24-2.31, 2 Be 2.47
Ni 0.1272 0.6272 0.5000  6 Be 2.24-2.31, 3 Ni 2.34-2.47
Ni 0.3728 0.1272 0.5000  6 Be 2.24-2.31, 3 Ni 2.34-2.47
Ni 0.6272 0.8728 0.5000  6 Be 2.24-2.31, 3 Ni 2.34-2.47
Ni 0.8728 0.3728 0.5000  6 Be 2.24-2.31, 3 Ni 2.34-2.47
Os 0.0000 0.0000 0.5000  2 Os 2.47, 4 Ni 2.56, 8 Be 2.71
Os 0.5000 0.5000 0.5000  2 Os 2.47, 4 Ni 2.56, 8 Be 2.71

Properties
**Space-group type**: P4/mbm
**Density**: 10.3 g/cm³

=====

Name the most stable of them. version i.

=====

Version i
Material: Be2Ni2P
Method: DFT, GGA-PBE
State: relaxed

a b c (Å): 5.8860 5.8860 2.9577
angles (deg): 90.00 90.00 90.00
Closest atoms and distances in Å follow each position.
Positions (direct):
Be 0.1377 0.3623 0.0000  6 Ni 2.26-2.28, 1 Be 2.29
Be 0.3623 0.8623 0.0000  6 Ni 2.26-2.28, 1 Be 2.29
Be 0.6377 0.1377 0.0000  6 Ni 2.26-2.28, 1 Be 2.29
Be 0.8623 0.6377 0.0000  6 Ni 2.26-2.28, 1 Be 2.29
Ni 0.1569 0.6569 0.5000  2 P 2.22, 6 Be 2.26-2.28
Ni 0.3431 0.1569 0.5000  2 P 2.22, 6 Be 2.26-2.28
Ni 0.6569 0.8431 0.5000  2 P 2.22, 6 Be 2.26-2.28
Ni 0.8431 0.3431 0.5000  2 P 2.22, 6 Be 2.26-2.28
P 0.0000 0.0000 0.5000  4 Ni 2.22
P 0.5000 0.5000 0.5000  4 Ni 2.22

Properties
**Space-group type**: P4/mbm
**Density**: 5.4 g/cm³

=====

Version ii
Material: Be2Ni2P
Method: DFT, GGA-PBE
State: relaxed

a b c (Å): 5.4709 5.4709 5.4709
angles (deg): 144.43 144.43 51.19
Closest atoms and distances in Å follow each position.
Positions (direct):
Be 0.1054 0.1054 0.0000  1 Be 2.08, 4 Ni 2.20
Be 0.8946 0.8946 0.0000  1 Be 2.08, 4 Ni 2.20
Ni 0.2500 0.7500 0.5000  4 Be 2.20, 4 Ni 2.36
Ni 0.7500 0.2500 0.5000  4 Be 2.20, 4 Ni 2.36
P 0.5000 0.5000 0.0000  8 Be 2.58

Properties
**Space-group type**: I4/mmm
**Density**: 5.0 g/cm³

=====

Name the most stable of them. version i.

=====

Version i
Material: BeNi3Pb
Method: DFT, GGA-PBE
State: relaxed

a b c (Å): 4.0494 4.0494 4.0494
angles (deg): 90.00 90.00 90.00
Closest atoms and distances in Å follow each position.
Positions (direct):
Be 0.0000 0.0000 0.0000  6 Ni 2.02
Ni 0.0000 0.0000 0.5000  2 Be 2.02
Ni 0.0000 0.5000 0.0000  2 Be 2.02
Ni 0.5000 0.0000 0.0000  2 Be 2.02
Pb 0.5000 0.5000 0.5000  12 Ni 2.86

Properties
**Space-group type**: Pm-3m
**Density**: 9.8 g/cm³

=====

Version ii
Material: BeNi3Pb
Method: DFT, GGA-PBE
State: relaxed

a b c (Å): 4.7176 4.7176 4.7176
angles (deg): 90.00 90.00 90.00
Closest atoms and distances in Å follow each position.
Positions (direct):
Be 0.0000 0.0000 0.0000  12 Ni 3.34
Ni 0.0000 0.5000 0.5000  2 Pb 2.36
Ni 0.5000 0.0000 0.5000  2 Pb 2.36
Ni 0.5000 0.5000 0.0000  2 Pb 2.36
Pb 0.5000 0.5000 0.5000  6 Ni 2.36

Properties
**Space-group type**: Pm-3m
**Density**: 6.2 g/cm³

=====

Name the most stable of them. version i.

=====

Version i
Material: Be2Ni2Pb
Method: DFT, GGA-PBE
State: relaxed

a b c (Å): 6.4551 6.4551 6.4551
angles (deg): 150.35 150.35 42.43
Closest atoms and distances in Å follow each position.
Positions (direct):
Be 0.2500 0.7500 0.5000  4 Ni 2.27, 4 Be 2.34
Be 0.7500 0.2500 0.5000  4 Ni 2.27, 4 Be 2.34
Ni 0.1201 0.1201 0.0000  4 Be 2.27
Ni 0.8799 0.8799 0.0000  4 Be 2.27
Pb 0.5000 0.5000 0.0000  8 Ni 2.75

Properties
**Space-group type**: I4/mmm
**Density**: 8.7 g/cm³

=====

Version ii
Material: Be2Ni2Pb
Method: DFT, GGA-PBE
State: relaxed

a b c (Å): 6.5057 6.5057 2.9667
angles (deg): 90.00 90.00 90.00
Closest atoms and distances in Å follow each position.
Positions (direct):
Be 0.1173 0.3827 0.0000  1 Be 2.16, 4 Ni 2.28
Be 0.3827 0.8827 0.0000  1 Be 2.16, 4 Ni 2.28
Be 0.6173 0.1173 0.0000  1 Be 2.16, 4 Ni 2.28
Be 0.8827 0.6173 0.0000  1 Be 2.16, 4 Ni 2.28
Ni 0.1474 0.6474 0.5000  4 Be 2.28
Ni 0.3526 0.1474 0.5000  4 Be 2.28
Ni 0.6474 0.8526 0.5000  4 Be 2.28
Ni 0.8526 0.3526 0.5000  4 Be 2.28
Pb 0.0000 0.0000 0.0000  4 Be 2.60, 8 Ni 2.90
Pb 0.5000 0.5000 0.0000  4 Be 2.60, 8 Ni 2.90

Properties
**Space-group type**: P4/mbm
**Density**: 9.1 g/cm³

=====

Name the most stable of them. version ii.